# MgV2Tc2 (PBE, relaxed)
data_MgV2Tc2
_cell_length_a 7.3214
_cell_length_b 7.3214
_cell_length_c 2.8759
_cell_angle_alpha 90.00
_cell_angle_beta 90.00
_cell_angle_gamma 90.00
_space_group_name_H-M_alt 'P 4/m b m'
_space_group_IT_number 127
_space_group_name_Hall '-P 4 2ab'
loop_
_atom_site_label
_atom_site_type_symbol
_atom_site_fract_x
_atom_site_fract_y
_atom_site_fract_z
_atom_site_occupancy
Mg1 Mg 0.0000 0.0000 0.0000 1
V1 V 0.1400 0.3600 0.0000 1
Tc1 Tc 0.1572 0.6572 0.5000 1
# * total magnetic moment: 0.0 μB/cell
# * crystal system: tetragonal
# * formation enthalpy at 0 K: 0.10 eV per atom

=====

# Mg2VTc (PBE, relaxed)
data_Mg2VTc
_cell_length_a 6.4869
_cell_length_b 6.4869
_cell_length_c 6.4869
_cell_angle_alpha 90.00
_cell_angle_beta 90.00
_cell_angle_gamma 90.00
_space_group_name_H-M_alt 'F m -3 m'
_space_group_IT_number 225
_space_group_name_Hall '-F 4 2 3'
loop_
_atom_site_label
_atom_site_type_symbol
_atom_site_fract_x
_atom_site_fract_y
_atom_site_fract_z
_atom_site_occupancy
Mg1 Mg 0.2500 0.2500 0.2500 1
V1 V 0.0000 0.0000 0.0000 1
Tc1 Tc 0.0000 0.0000 0.5000 1
# * total magnetic moment: 7.5 μB/cell
# * crystal system: cubic
# * formation enthalpy at 0 K: 0.53 eV per atom

=====

# MgVTc (PBE, relaxed)
data_MgVTc
_cell_length_a 3.1555
_cell_length_b 3.1555
_cell_length_c 9.6575
_cell_angle_alpha 90.00
_cell_angle_beta 90.00
_cell_angle_gamma 90.00
_space_group_name_H-M_alt 'I 4 m m'
_space_group_IT_number 107
_space_group_name_Hall 'I 4 -2'
loop_
_atom_site_label
_atom_site_type_symbol
_atom_site_fract_x
_atom_site_fract_y
_atom_site_fract_z
_atom_site_occupancy
Mg1 Mg 0.0000 0.0000 0.0000 1
V1 V 0.0000 0.0000 0.3023 1
Tc1 Tc 0.0000 0.0000 0.6893 1
# * total magnetic moment: 0.0 μB/cell
# * crystal system: tetragonal
# * formation enthalpy at 0 K: 0.00 eV per atom

=====

# Mg2VTcW (PBE, relaxed)
data_Mg2VTcW
_cell_length_a 4.7981
_cell_length_b 4.7981
_cell_length_c 4.6709
_cell_angle_alpha 90.00
_cell_angle_beta 90.00
_cell_angle_gamma 90.00
_space_group_name_H-M_alt 'P 4/m m m'
_space_group_IT_number 123
_space_group_name_Hall '-P 4 2'
loop_
_atom_site_label
_atom_site_type_symbol
_atom_site_fract_x
_atom_site_fract_y
_atom_site_fract_z
_atom_site_occupancy
Mg1 Mg 0.0000 0.5000 0.0000 1
V1 V 0.0000 0.0000 0.5000 1
Tc1 Tc 0.5000 0.5000 0.0000 1
W1 W 0.5000 0.5000 0.5000 1
# * total magnetic moment: 0.1 μB/cell
# * crystal system: tetragonal
# * formation enthalpy at 0 K: 1.51 eV per atom

=====

# MgTcW2 (PBE, relaxed)
data_MgTcW2
_cell_length_a 3.1798
_cell_length_b 4.4872
_cell_length_c 9.1219
_cell_angle_alpha 90.00
_cell_angle_beta 90.00
_cell_angle_gamma 90.00
_space_group_name_H-M_alt 'C m m 2'
_space_group_IT_number 35
loop_
_space_group_symop_operation_xyz
'x,y,z'
'-x,-y,z'
'-x,y,z'
'x,-y,z'
'x+1/2,y+1/2,z'
'-x+1/2,-y+1/2,z'
'-x+1/2,y+1/2,z'
'x+1/2,-y+1/2,z'
loop_
_atom_site_label
_atom_site_type_symbol
_atom_site_fract_x
_atom_site_fract_y
_atom_site_fract_z
_atom_site_occupancy
Mg1 Mg 0.0000 0.0000 0.0000 1
Tc1 Tc 0.0000 0.5000 0.7457 1
W1 W 0.0000 0.0000 0.5105 1
W2 W 0.0000 0.5000 0.2666 1
# * total magnetic moment: 0.0 μB/cell
# * crystal system: orthorhombic
# * formation enthalpy at 0 K: 0.19 eV per atom

=====

# Mg2TcW (PBE, relaxed)
data_Mg2TcW
_cell_length_a 4.5054
_cell_length_b 4.5054
_cell_length_c 6.3875
_cell_angle_alpha 90.00
_cell_angle_beta 90.00
_cell_angle_gamma 90.00
_space_group_name_H-M_alt 'I -4 m 2'
_space_group_IT_number 119
_space_group_name_Hall 'I -4 -2'
loop_
_atom_site_label
_atom_site_type_symbol
_atom_site_fract_x
_atom_site_fract_y
_atom_site_fract_z
_atom_site_occupancy
Mg1 Mg 0.0000 0.0000 0.0000 1
Mg2 Mg 0.0000 0.5000 0.2500 1
Tc1 Tc 0.0000 0.5000 0.7500 1
W1 W 0.0000 0.0000 0.5000 1
# * total magnetic moment: 0.0 μB/cell
# * crystal system: tetragonal
# * formation enthalpy at 0 K: 0.23 eV per atom

=====

# MgTcW2 (PBE, relaxed)
data_MgTcW2
_cell_length_a 7.4437
_cell_length_b 7.4437
_cell_length_c 5.3006
_cell_angle_alpha 90.00
_cell_angle_beta 90.00
_cell_angle_gamma 90.00
_space_group_name_H-M_alt 'I -4 2 d'
_space_group_IT_number 122
_space_group_name_Hall 'I -4 2bw'
loop_
_atom_site_label
_atom_site_type_symbol
_atom_site_fract_x
_atom_site_fract_y
_atom_site_fract_z
_atom_site_occupancy
Mg1 Mg 0.0000 0.0000 0.0000 1
Tc1 Tc 0.0000 0.0000 0.5000 1
W1 W 0.2003 0.2500 0.6250 1
# * total magnetic moment: 0.0 μB/cell
# * crystal system: tetragonal
# * formation enthalpy at 0 K: 0.90 eV per atom

=====

# Mg3TcW (PBE, relaxed)
data_Mg3TcW
_cell_length_a 4.7578
_cell_length_b 4.7578
_cell_length_c 4.7578
_cell_angle_alpha 90.00
_cell_angle_beta 90.00
_cell_angle_gamma 90.00
_space_group_name_H-M_alt 'P m -3 m'
_space_group_IT_number 221
_space_group_name_Hall '-P 4 2 3'
loop_
_atom_site_label
_atom_site_type_symbol
_atom_site_fract_x
_atom_site_fract_y
_atom_site_fract_z
_atom_site_occupancy
Mg1 Mg 0.0000 0.0000 0.5000 1
Tc1 Tc 0.0000 0.0000 0.0000 1
W1 W 0.5000 0.5000 0.5000 1
# * total magnetic moment: 0.0 μB/cell
# * crystal system: cubic
# * formation enthalpy at 0 K: 1.75 eV per atom

=====

# MgTcW2 (PBE, relaxed)
data_MgTcW2
_cell_length_a 2.7066
_cell_length_b 4.4452
_cell_length_c 5.3864
_cell_angle_alpha 90.00
_cell_angle_beta 99.87
_cell_angle_gamma 90.00
_space_group_name_H-M_alt 'P 1 m 1'
_space_group_IT_number 6
loop_
_space_group_symop_operation_xyz
'x,y,z'
'x,-y,z'
loop_
_atom_site_label
_atom_site_type_symbol
_atom_site_fract_x
_atom_site_fract_y
_atom_site_fract_z
_atom_site_occupancy
Mg1 Mg 0.0000 0.0000 0.0000 1
Tc1 Tc 0.7312 0.5000 0.2413 1
W1 W 0.3015 0.5000 0.7491 1
W2 W 0.5319 0.0000 0.4937 1
# * total magnetic moment: 0.0 μB/cell
# * crystal system: monoclinic
# * formation enthalpy at 0 K: 0.25 eV per atom

=====

# Mg2TcW (PBE, relaxed)
data_Mg2TcW
_cell_length_a 3.1920
_cell_length_b 3.1920
_cell_length_c 6.9797
_cell_angle_alpha 90.00
_cell_angle_beta 90.00
_cell_angle_gamma 90.00
_space_group_name_H-M_alt 'P 4 m m'
_space_group_IT_number 99
loop_
_space_group_symop_operation_xyz
'x,y,z'
'-y,x,z'
'-x,-y,z'
'y,-x,z'
'-x,y,z'
'y,x,z'
'x,-y,z'
'-y,-x,z'
loop_
_atom_site_label
_atom_site_type_symbol
_atom_site_fract_x
_atom_site_fract_y
_atom_site_fract_z
_atom_site_occupancy
Mg1 Mg 0.0000 0.0000 0.0000 1
Mg2 Mg 0.5000 0.5000 0.2950 1
Tc1 Tc 0.0000 0.0000 0.5514 1
W1 W 0.5000 0.5000 0.7324 1
# * total magnetic moment: 0.0 μB/cell
# * crystal system: tetragonal
# * formation enthalpy at 0 K: 0.11 eV per atom

=====

# MgTcW2 (PBE, relaxed)
data_MgTcW2
_cell_length_a 3.7882
_cell_length_b 3.7882
_cell_length_c 8.8860
_cell_angle_alpha 90.00
_cell_angle_beta 90.00
_cell_angle_gamma 90.00
_space_group_name_H-M_alt 'I 4/m m m'
_space_group_IT_number 139
_space_group_name_Hall '-I 4 2'
loop_
_atom_site_label
_atom_site_type_symbol
_atom_site_fract_x
_atom_site_fract_y
_atom_site_fract_z
_atom_site_occupancy
Mg1 Mg 0.0000 0.0000 0.0000 1
Tc1 Tc 0.0000 0.0000 0.5000 1
W1 W 0.0000 0.5000 0.2500 1
# * total magnetic moment: 0.0 μB/cell
# * crystal system: tetragonal
# * formation enthalpy at 0 K: 0.42 eV per atom

=====

# MgTcW2 (PBE, relaxed)
data_MgTcW2
_cell_length_a 3.2251
_cell_length_b 4.3832
_cell_length_c 4.4917
_cell_angle_alpha 90.00
_cell_angle_beta 90.00
_cell_angle_gamma 90.00
_space_group_name_H-M_alt 'P m m m'
_space_group_IT_number 47
loop_
_space_group_symop_operation_xyz
'x,y,z'
'-x,-y,-z'
'-x,-y,z'
'x,y,-z'
'x,-y,-z'
'-x,y,z'
'-x,y,-z'
'x,-y,z'
loop_
_atom_site_label
_atom_site_type_symbol
_atom_site_fract_x
_atom_site_fract_y
_atom_site_fract_z
_atom_site_occupancy
Mg1 Mg 0.0000 0.0000 0.0000 1
Tc1 Tc 0.5000 0.5000 0.0000 1
W1 W 0.0000 0.5000 0.5000 1
W2 W 0.5000 0.0000 0.5000 1
# * total magnetic moment: 0.0 μB/cell
# * crystal system: orthorhombic
# * formation enthalpy at 0 K: 0.37 eV per atom

=====

# MgTcW2 (PBE, relaxed)
data_MgTcW2
_cell_length_a 3.1550
_cell_length_b 4.4794
_cell_length_c 9.2240
_cell_angle_alpha 90.00
_cell_angle_beta 90.00
_cell_angle_gamma 90.00
_space_group_name_H-M_alt 'C m m m'
_space_group_IT_number 65
_space_group_name_Hall '-C 2 2'
loop_
_atom_site_label
_atom_site_type_symbol
_atom_site_fract_x
_atom_site_fract_y
_atom_site_fract_z
_atom_site_occupancy
Mg1 Mg 0.0000 0.0000 0.0000 1
Tc1 Tc 0.0000 0.0000 0.5000 1
W1 W 0.0000 0.5000 0.2636 1
# * total magnetic moment: 0.0 μB/cell
# * crystal system: orthorhombic
# * formation enthalpy at 0 K: 0.28 eV per atom

=====

# Mg2TcW (PBE, relaxed)
data_Mg2TcW
_cell_length_a 4.9690
_cell_length_b 4.9690
_cell_length_c 2.7071
_cell_angle_alpha 90.00
_cell_angle_beta 90.00
_cell_angle_gamma 90.00
_space_group_name_H-M_alt 'P 4/m m m'
_space_group_IT_number 123
_space_group_name_Hall '-P 4 2'
loop_
_atom_site_label
_atom_site_type_symbol
_atom_site_fract_x
_atom_site_fract_y
_atom_site_fract_z
_atom_site_occupancy
Mg1 Mg 0.0000 0.5000 0.0000 1
Tc1 Tc 0.0000 0.0000 0.5000 1
W1 W 0.5000 0.5000 0.5000 1
# * total magnetic moment: 0.0 μB/cell
# * crystal system: tetragonal
# * formation enthalpy at 0 K: 0.71 eV per atom

=====

# Mg2TcW (PBE, relaxed)
data_Mg2TcW
_cell_length_a 3.1589
_cell_length_b 4.6514
_cell_length_c 9.4801
_cell_angle_alpha 90.00
_cell_angle_beta 90.00
_cell_angle_gamma 90.00
_space_group_name_H-M_alt 'C m m 2'
_space_group_IT_number 35
loop_
_space_group_symop_operation_xyz
'x,y,z'
'-x,-y,z'
'-x,y,z'
'x,-y,z'
'x+1/2,y+1/2,z'
'-x+1/2,-y+1/2,z'
'-x+1/2,y+1/2,z'
'x+1/2,-y+1/2,z'
loop_
_atom_site_label
_atom_site_type_symbol
_atom_site_fract_x
_atom_site_fract_y
_atom_site_fract_z
_atom_site_occupancy
Mg1 Mg 0.0000 0.0000 0.0000 1
Mg2 Mg 0.0000 0.5000 0.2842 1
Tc1 Tc 0.0000 0.0000 0.5267 1
W1 W 0.0000 0.5000 0.7446 1
# * total magnetic moment: 0.0 μB/cell
# * crystal system: orthorhombic
# * formation enthalpy at 0 K: 0.21 eV per atom

=====

# Mg2TcW (PBE, relaxed)
data_Mg2TcW
_cell_length_a 3.3104
_cell_length_b 4.7564
_cell_length_c 8.8741
_cell_angle_alpha 90.00
_cell_angle_beta 90.00
_cell_angle_gamma 90.00
_space_group_name_H-M_alt 'I m m 2'
_space_group_IT_number 44
loop_
_space_group_symop_operation_xyz
'x,y,z'
'-x,-y,z'
'-x,y,z'
'x,-y,z'
'x+1/2,y+1/2,z+1/2'
'-x+1/2,-y+1/2,z+1/2'
'-x+1/2,y+1/2,z+1/2'
'x+1/2,-y+1/2,z+1/2'
loop_
_atom_site_label
_atom_site_type_symbol
_atom_site_fract_x
_atom_site_fract_y
_atom_site_fract_z
_atom_site_occupancy
Mg1 Mg 0.0000 0.0000 0.0000 1
Mg2 Mg 0.0000 0.5000 0.2305 1
Tc1 Tc 0.0000 0.5000 0.7582 1
W1 W 0.0000 0.0000 0.4590 1
# * total magnetic moment: 0.0 μB/cell
# * crystal system: orthorhombic
# * formation enthalpy at 0 K: 0.30 eV per atom

=====

# Mg2TcW (PBE, relaxed)
data_Mg2TcW
_cell_length_a 3.2917
_cell_length_b 4.2875
_cell_length_c 4.6748
_cell_angle_alpha 90.00
_cell_angle_beta 90.00
_cell_angle_gamma 90.00
_space_group_name_H-M_alt 'P m m m'
_space_group_IT_number 47
loop_
_space_group_symop_operation_xyz
'x,y,z'
'-x,-y,-z'
'-x,-y,z'
'x,y,-z'
'x,-y,-z'
'-x,y,z'
'-x,y,-z'
'x,-y,z'
loop_
_atom_site_label
_atom_site_type_symbol
_atom_site_fract_x
_atom_site_fract_y
_atom_site_fract_z
_atom_site_occupancy
Mg1 Mg 0.0000 0.0000 0.0000 1
Mg2 Mg 0.5000 0.5000 0.0000 1
Tc1 Tc 0.0000 0.5000 0.5000 1
W1 W 0.5000 0.0000 0.5000 1
# * total magnetic moment: 0.0 μB/cell
# * crystal system: orthorhombic
# * formation enthalpy at 0 K: 0.31 eV per atom

=====

# MgTcW (PBE, relaxed)
data_MgTcW
_cell_length_a 6.0784
_cell_length_b 6.0784
_cell_length_c 6.0784
_cell_angle_alpha 90.00
_cell_angle_beta 90.00
_cell_angle_gamma 90.00
_space_group_name_H-M_alt 'F -4 3 m'
_space_group_IT_number 216
_space_group_name_Hall 'F -4 2 3'
loop_
_atom_site_label
_atom_site_type_symbol
_atom_site_fract_x
_atom_site_fract_y
_atom_site_fract_z
_atom_site_occupancy
Mg1 Mg 0.0000 0.0000 0.0000 1
Tc1 Tc 0.2500 0.2500 0.7500 1
W1 W 0.0000 0.0000 0.5000 1
# * total magnetic moment: 0.0 μB/cell
# * crystal system: cubic
# * formation enthalpy at 0 K: 0.73 eV per atom

=====

# Mg2TcW (PBE, relaxed)
data_Mg2TcW
_cell_length_a 5.3956
_cell_length_b 9.3367
_cell_length_c 2.6970
_cell_angle_alpha 90.00
_cell_angle_beta 103.56
_cell_angle_gamma 90.00
_space_group_name_H-M_alt 'C 1 2/m 1'
_space_group_IT_number 12
loop_
_space_group_symop_operation_xyz
'x,y,z'
'-x,-y,-z'
'-x,y,-z'
'x,-y,z'
'x+1/2,y+1/2,z'
'-x+1/2,-y+1/2,-z'
'-x+1/2,y+1/2,-z'
'x+1/2,-y+1/2,z'
loop_
_atom_site_label
_atom_site_type_symbol
_atom_site_fract_x
_atom_site_fract_y
_atom_site_fract_z
_atom_site_occupancy
Mg1 Mg 0.2500 0.2500 0.0000 1
Tc1 Tc 0.0000 0.0000 0.5000 1
W1 W 0.0000 0.5000 0.5000 1
# * total magnetic moment: 0.0 μB/cell
# * crystal system: monoclinic
# * formation enthalpy at 0 K: 0.33 eV per atom

=====

# MgTcW2 (PBE, relaxed)
data_MgTcW2
_cell_length_a 2.6485
_cell_length_b 4.3986
_cell_length_c 5.5321
_cell_angle_alpha 90.00
_cell_angle_beta 90.00
_cell_angle_gamma 90.00
_space_group_name_H-M_alt 'P m m 2'
_space_group_IT_number 25
loop_
_space_group_symop_operation_xyz
'x,y,z'
'-x,-y,z'
'-x,y,z'
'x,-y,z'
loop_
_atom_site_label
_atom_site_type_symbol
_atom_site_fract_x
_atom_site_fract_y
_atom_site_fract_z
_atom_site_occupancy
Mg1 Mg 0.0000 0.0000 0.0000 1
Tc1 Tc 0.5000 0.5000 0.2328 1
W1 W 0.0000 0.0000 0.4975 1
W2 W 0.5000 0.5000 0.7476 1
# * total magnetic moment: 0.0 μB/cell
# * crystal system: orthorhombic
# * formation enthalpy at 0 K: 0.40 eV per atom